The following is a DFT calculation (PBE-GGA) of crystalline LaIr2Au at its relaxed geometry.

a = 4.2618 Å, b = 4.2618 Å, c = 4.1670 Å
α = 90.00°, β = 90.00°, γ = 90.00°
Element x y z (fractional)
La (0.0000, 0.0000, 0.0000)
Ir (0.0000, 0.5000, 0.5000)
Ir (0.5000, 0.0000, 0.5000)
Au (0.5000, 0.5000, 0.0000)

Computed properties:
relative energy among the computed polymorphs: 0 meV/atom
space-group type: P4/mmm
M_tot: 0.00 Bohr magnetons per cell
raw total energy: -6.69 eV per atom

=====

The following is a DFT calculation (PBE-GGA) of crystalline LaIrAu at its relaxed geometry.

a = 4.7348 Å, b = 4.7348 Å, c = 4.7348 Å
α = 60.00°, β = 60.00°, γ = 60.00°
Element x y z (fractional)
La (0.0000, 0.0000, 0.0000)
Ir (0.2500, 0.2500, 0.2500)
Au (0.5000, 0.5000, 0.5000)

Computed properties:
relative energy among the computed polymorphs: 275 meV/atom
space-group type: F-43m
M_tot: 0.00 Bohr magnetons per cell
raw total energy: -6.03 eV per atom

=====

The following is a DFT calculation (PBE-GGA) of crystalline LaIr2Au at its relaxed geometry.

a = 9.9044 Å, b = 9.9044 Å, c = 9.9044 Å
α = 153.44°, β = 153.44°, γ = 37.91°
Element x y z (fractional)
La (0.0000, 0.0000, 0.0000)
La (0.7500, 0.2500, 0.5000)
Ir (0.2793, 0.6250, 0.1543)
Ir (0.3750, 0.5293, 0.6543)
Ir (0.4707, 0.1250, 0.8457)
Ir (0.8750, 0.7207, 0.3457)
Au (0.2500, 0.7500, 0.5000)
Au (0.5000, 0.5000, 0.0000)

Computed properties:
relative energy among the computed polymorphs: 110 meV/atom
space-group type: I-42d
M_tot: 0.00 Bohr magnetons per cell
raw total energy: -6.58 eV per atom

=====

The following is a DFT calculation (PBE-GGA) of crystalline LaIr4Au at its relaxed geometry.

a = 5.3670 Å, b = 5.3670 Å, c = 5.3670 Å
α = 60.00°, β = 60.00°, γ = 60.00°
Element x y z (fractional)
La (0.0000, 0.0000, 0.0000)
Ir (0.3751, 0.3751, 0.3751)
Ir (0.3751, 0.3751, 0.8746)
Ir (0.3751, 0.8746, 0.3751)
Ir (0.8746, 0.3751, 0.3751)
Au (0.7500, 0.7500, 0.7500)

Computed properties:
space-group type: F-43m
M_tot: 0.00 Bohr magnetons per cell
raw total energy: -7.44 eV per atom

=====

The following is a DFT calculation (PBE-GGA) of crystalline LaIrAu2 at its relaxed geometry.

a = 5.3190 Å, b = 5.3190 Å, c = 5.3190 Å
α = 131.75°, β = 131.75°, γ = 70.62°
Element x y z (fractional)
La (0.0000, 0.0000, 0.0000)
Ir (0.7500, 0.2500, 0.5000)
Au (0.2500, 0.7500, 0.5000)
Au (0.5000, 0.5000, 0.0000)

Computed properties:
relative energy among the computed polymorphs: 79 meV/atom
space-group type: I-4m2
M_tot: 0.00 Bohr magnetons per cell
raw total energy: -5.43 eV per atom

=====

The following is a DFT calculation (PBE-GGA) of crystalline LaIrAu at its relaxed geometry.

a = 4.5579 Å, b = 4.5579 Å, c = 3.9488 Å
α = 90.00°, β = 90.00°, γ = 120.00°
Element x y z (fractional)
La (0.0000, 0.0000, 0.0000)
Ir (0.3333, 0.6667, 0.5000)
Au (0.6667, 0.3333, 0.5000)

Computed properties:
relative energy among the computed polymorphs: 140 meV/atom
space-group type: P-6m2
M_tot: 0.00 Bohr magnetons per cell
raw total energy: -6.17 eV per atom